# 1
Material: Cu7Pd12Pt
Method: DFT, GGA-PBE
State: relaxed

Results
ΔH_f (0 K): 0.098 eV/atom
density of states at the Fermi level: 1.395 states/eV per atom
space group: R-3 (148)

Geometry as extended XYZ:
```
20
Lattice="4.553 2.629 4.274 -4.553 2.629 4.274 0.000 -5.258 4.274" Properties=species:S:1:pos:R:3 pbc="T T T"
Cu 0.000 0.000 0.000
Cu -1.349 -0.563 4.290
Cu 1.162 -0.887 4.290
Cu 0.187 1.450 4.290
Cu -0.187 -1.450 8.532
Cu -1.162 0.887 8.532
Cu 1.349 0.563 8.532
Pd -0.248 -2.823 3.459
Pd -2.321 1.626 3.459
Pd -2.477 -1.165 6.644
Pd -0.229 -2.728 6.178
Pd -2.248 1.562 6.178
Pd -2.569 -1.197 9.363
Pd 2.569 1.197 3.459
Pd 2.248 -1.562 6.644
Pd 0.229 2.728 6.644
Pd 2.477 1.165 6.178
Pd 2.321 -1.626 9.363
Pd 0.248 2.823 9.363
Pt 0.000 0.000 6.411
```

# 2
Material: Cu23Pd6Pt
Method: DFT, GGA-PBE
State: relaxed

Results
ΔH_f (0 K): -0.004 eV/atom
density of states at the Fermi level: 0.387 states/eV per atom
space group: Fm-3m (225)

Geometry as extended XYZ:
```
30
Lattice="0.000 5.828 5.828 5.828 0.000 5.828 5.828 5.828 0.000" Properties=species:S:1:pos:R:3 pbc="T T T"
Cu 0.000 0.000 0.000
Cu 2.914 2.914 0.000
Cu 2.914 0.000 2.914
Cu 5.828 2.914 2.914
Cu 7.384 4.271 4.271
Cu 1.591 1.591 1.591
Cu 4.236 4.236 1.591
Cu 4.236 1.591 4.236
Cu 4.271 4.271 4.271
Cu 7.384 7.384 4.271
Cu 7.384 4.271 7.384
Cu 10.064 7.419 7.419
Cu 0.000 2.914 2.914
Cu 2.914 5.828 2.914
Cu 2.914 2.914 5.828
Cu 1.591 4.236 4.236
Cu 4.271 7.384 4.271
Cu 4.271 4.271 7.384
Cu 7.384 7.384 7.384
Cu 7.419 10.064 7.419
Cu 7.419 7.419 10.064
Cu 10.064 10.064 10.064
Cu 4.271 7.384 7.384
Pd 5.828 5.828 2.864
Pd 5.828 2.864 5.828
Pd 8.791 5.828 5.828
Pd 2.864 5.828 5.828
Pd 5.828 8.791 5.828
Pd 5.828 5.828 8.791
Pt 5.828 5.828 5.828
```

# 3
Material: CuPd3Pt
Method: DFT, GGA-PBE
State: relaxed

Results
E above lowest polymorph: 419 meV/atom
ΔH_f (0 K): 0.392 eV/atom
density of states at the Fermi level: 1.565 states/eV per atom
space group: Imma (74)

Geometry as extended XYZ:
```
10
Lattice="-2.444 4.503 4.023 2.444 -4.503 4.023 2.444 4.503 -4.023" Properties=species:S:1:pos:R:3 pbc="T T T"
Cu 0.000 2.252 0.218
Cu 2.444 2.252 3.805
Pd 1.222 2.252 -2.011
Pd 1.222 -2.252 2.011
Pd 0.000 0.080 1.350
Pd 2.444 0.080 2.673
Pd 0.000 4.424 1.350
Pd 2.444 4.424 2.673
Pt 2.444 0.000 0.000
Pt 0.000 0.000 4.023
```

# 4
Material: Cu3Pd5Pt
Method: DFT, GGA-PBE
State: relaxed

Results
ΔH_f (0 K): 0.313 eV/atom
density of states at the Fermi level: 1.352 states/eV per atom
space group: C2/m (12)

Geometry as extended XYZ:
```
18
Lattice="4.116 -3.587 0.000 4.116 3.587 0.000 -1.343 0.000 10.011" Properties=species:S:1:pos:R:3 pbc="T T T"
Cu 0.000 0.000 0.000
Cu -0.672 0.000 5.006
Cu 1.519 0.000 3.761
Cu 1.099 0.000 9.763
Cu 5.791 0.000 0.248
Cu 5.370 0.000 6.250
Pd 1.345 2.011 8.278
Pd 1.476 0.000 6.266
Pd 3.445 1.281 5.006
Pd 5.544 2.011 1.733
Pd 3.591 0.000 1.963
Pd 3.298 0.000 8.048
Pd 1.345 -2.011 8.278
Pd 3.445 -1.281 5.006
Pd 5.413 0.000 3.745
Pd 5.544 -2.011 1.733
Pt -0.666 0.000 7.644
Pt 7.556 0.000 2.367
```

# 5
Material: CuPd7Pt4
Method: DFT, GGA-PBE
State: relaxed

Results
E above lowest polymorph: 0 meV/atom
ΔH_f (0 K): -0.033 eV/atom
density of states at the Fermi level: 1.986 states/eV per atom
space group: P-3m1 (164)

Geometry as extended XYZ:
```
12
Lattice="2.779 0.000 0.000 -1.389 2.406 0.000 0.000 0.000 27.361" Properties=species:S:1:pos:R:3 pbc="T T T"
Cu 0.000 0.000 0.000
Pd 0.000 0.000 6.767
Pd 0.000 0.000 13.681
Pd 0.000 0.000 20.594
Pd 0.000 1.604 18.306
Pd 0.000 1.604 25.260
Pd 1.389 0.802 2.101
Pd 1.389 0.802 9.055
Pt 0.000 1.604 4.441
Pt 0.000 1.604 11.370
Pt 1.389 0.802 15.992
Pt 1.389 0.802 22.921
```

# 6
Material: Cu8Pd2Pt
Method: DFT, GGA-PBE
State: relaxed

Results
E above lowest polymorph: 0 meV/atom
ΔH_f (0 K): 0.004 eV/atom
density of states at the Fermi level: 0.359 states/eV per atom
space group: Immm (71)

Geometry as extended XYZ:
```
11
Lattice="-2.124 3.319 5.287 2.124 -3.319 5.287 2.124 3.319 -5.287" Properties=species:S:1:pos:R:3 pbc="T T T"
Cu 0.000 0.000 1.545
Cu 2.124 2.071 -1.462
Cu 0.000 1.976 0.000
Cu 2.124 2.071 1.462
Cu 0.000 1.248 3.825
Cu 0.000 4.661 0.000
Cu 0.000 1.248 6.750
Cu 0.000 0.000 9.030
Pd 2.124 0.000 3.028
Pd 0.000 3.319 2.259
Pt 2.124 0.000 0.000
```

# 7
Material: Cu3PdPt3
Method: DFT, GGA-PBE
State: relaxed

Results
E above lowest polymorph: 78 meV/atom
ΔH_f (0 K): 0.128 eV/atom
density of states at the Fermi level: 1.211 states/eV per atom
space group: P6_3/m (176)

Geometry as extended XYZ:
```
14
Lattice="9.459 0.000 0.000 -4.730 8.192 0.000 0.000 0.000 2.765" Properties=species:S:1:pos:R:3 pbc="T T T"
Cu -1.404 3.889 0.691
Cu -0.660 7.464 0.691
Cu 2.666 3.160 2.074
Cu 2.064 5.032 0.691
Cu 5.390 0.728 2.074
Cu 6.134 4.303 2.074
Pd 0.000 5.461 2.074
Pd 4.730 2.731 0.691
Pt -3.021 6.482 0.691
Pt 0.626 2.335 0.691
Pt 2.335 0.625 2.074
Pt 2.395 7.567 0.691
Pt 4.104 5.857 2.074
Pt 7.750 1.710 2.074
```

# 8
Material: CuPd9Pt2
Method: DFT, GGA-PBE
State: relaxed

Results
ΔH_f (0 K): -0.033 eV/atom
density of states at the Fermi level: 2.143 states/eV per atom
space group: P4/mmm (123)

Geometry as extended XYZ:
```
12
Lattice="3.930 0.000 0.000 0.000 3.930 0.000 0.000 0.000 11.818" Properties=species:S:1:pos:R:3 pbc="T T T"
Cu 0.000 0.000 0.000
Pd 0.000 1.965 1.909
Pd 0.000 1.965 5.909
Pd 0.000 1.965 9.909
Pd 1.965 0.000 1.909
Pd 1.965 0.000 5.909
Pd 1.965 0.000 9.909
Pd 1.965 1.965 0.000
Pd 1.965 1.965 3.892
Pd 1.965 1.965 7.926
Pt 0.000 0.000 3.936
Pt 0.000 0.000 7.882
```

Question: Which formula does entry 8 have?
Answer: CuPd9Pt2